<i>
{
  "formula": "Rb2SbTe3",
  "functional": "GGA-PBE",
  "state": "relaxed",
  "volume_a3_per_atom": 49.083,
  "magmom_total_mub_per_cell": 0.000,
  "space_group": "Cmce (64)",
  "rho_g_cm3": 3.8,
  "cell": [[4.265, -7.547, 0.000], [4.265, 7.547, 0.000], [0.000, 0.000, 18.296]],
  "species": ["Rb", "Rb", "Rb", "Rb", "Rb", "Rb", "Rb", "Rb", "Sb", "Sb", "Sb", "Sb", "Te", "Te", "Te", "Te", "Te", "Te", "Te", "Te", "Te", "Te", "Te", "Te"],
  "fractional_positions": [[0.054, 0.946, 0.833], [0.149, 0.851, 0.432], [0.351, 0.649, 0.932], [0.446, 0.554, 0.333], [0.554, 0.446, 0.667], [0.649, 0.351, 0.068], [0.851, 0.149, 0.568], [0.946, 0.054, 0.167], [0.236, 0.764, 0.154], [0.264, 0.736, 0.654], [0.736, 0.264, 0.346], [0.764, 0.236, 0.846], [0.068, 0.432, 0.750], [0.085, 0.915, 0.631], [0.132, 0.868, 0.029], [0.368, 0.632, 0.529], [0.415, 0.585, 0.131], [0.432, 0.068, 0.250], [0.568, 0.932, 0.750], [0.585, 0.415, 0.869], [0.632, 0.368, 0.471], [0.868, 0.132, 0.971], [0.915, 0.085, 0.369], [0.932, 0.568, 0.250]]
}

<ii>
{
  "formula": "Rb2SbTe3",
  "functional": "GGA-PBE",
  "state": "relaxed",
  "volume_a3_per_atom": 45.654,
  "magmom_total_mub_per_cell": 0.000,
  "space_group": "C2/c (15)",
  "rho_g_cm3": 4.1,
  "cell": [[7.268, -4.832, 0.000], [7.268, 4.832, 0.000], [-0.902, 0.000, 7.799]],
  "species": ["Rb", "Rb", "Rb", "Rb", "Sb", "Sb", "Te", "Te", "Te", "Te", "Te", "Te"],
  "fractional_positions": [[0.012, 0.682, 0.815], [0.318, 0.988, 0.685], [0.682, 0.012, 0.315], [0.988, 0.318, 0.185], [0.424, 0.576, 0.250], [0.576, 0.424, 0.750], [0.136, 0.864, 0.250], [0.326, 0.382, 0.489], [0.382, 0.326, 0.989], [0.618, 0.674, 0.011], [0.674, 0.618, 0.511], [0.864, 0.136, 0.750]]
}

Stability summary - winner: <ii>; margin: 8 meV/atom.

<i>
{
  "formula": "Rb3SbTe3",
  "functional": "GGA-PBE",
  "state": "relaxed",
  "volume_a3_per_atom": 49.519,
  "magmom_total_mub_per_cell": 0.000,
  "space_group": "C2/m (12)",
  "rho_g_cm3": 3.6,
  "cell": [[5.002, -7.423, 0.000], [5.002, 7.423, 0.000], [-0.117, 0.000, 9.335]],
  "species": ["Rb", "Rb", "Rb", "Rb", "Rb", "Rb", "Sb", "Sb", "Te", "Te", "Te", "Te", "Te", "Te"],
  "fractional_positions": [[0.172, 0.828, 0.000], [0.217, 0.783, 0.500], [0.370, 0.370, 0.143], [0.630, 0.630, 0.857], [0.783, 0.217, 0.500], [0.828, 0.172, 0.000], [0.227, 0.227, 0.642], [0.773, 0.773, 0.358], [0.044, 0.044, 0.280], [0.177, 0.478, 0.794], [0.478, 0.177, 0.794], [0.522, 0.823, 0.206], [0.823, 0.522, 0.206], [0.956, 0.956, 0.720]]
}

<ii>
{
  "formula": "Rb3SbTe3",
  "functional": "GGA-PBE",
  "state": "relaxed",
  "volume_a3_per_atom": 46.299,
  "magmom_total_mub_per_cell": 0.000,
  "space_group": "Pnma (62)",
  "rho_g_cm3": 3.9,
  "cell": [[14.207, 0.000, 0.000], [0.000, 5.779, 0.000], [0.000, 0.000, 15.790]],
  "species": ["Rb", "Rb", "Rb", "Rb", "Rb", "Rb", "Rb", "Rb", "Rb", "Rb", "Rb", "Rb", "Sb", "Sb", "Sb", "Sb", "Te", "Te", "Te", "Te", "Te", "Te", "Te", "Te", "Te", "Te", "Te", "Te"],
  "fractional_positions": [[0.061, 0.250, 0.105], [0.146, 0.750, 0.482], [0.231, 0.750, 0.782], [0.269, 0.250, 0.282], [0.354, 0.250, 0.982], [0.439, 0.750, 0.605], [0.561, 0.250, 0.395], [0.646, 0.750, 0.018], [0.731, 0.750, 0.718], [0.769, 0.250, 0.218], [0.854, 0.250, 0.518], [0.939, 0.750, 0.895], [0.058, 0.250, 0.697], [0.442, 0.750, 0.197], [0.558, 0.250, 0.803], [0.942, 0.750, 0.303], [0.012, 0.250, 0.336], [0.105, 0.250, 0.874], [0.237, 0.250, 0.618], [0.263, 0.750, 0.118], [0.395, 0.750, 0.374], [0.488, 0.750, 0.836], [0.512, 0.250, 0.164], [0.605, 0.250, 0.626], [0.737, 0.250, 0.882], [0.763, 0.750, 0.382], [0.895, 0.750, 0.126], [0.988, 0.750, 0.664]]
}

Stability summary - winner: <ii>; margin: 16 meV/atom.